*i*
Entry from Alexandria via LeMat-Bulk: an optimized crystal structure of Th2PbAu (GGA-PBE).

Volume   27.6 Å³ per atom
Size of the total moment   0.00 μB/cell

abc: 3.5044 3.5044 8.9803
angles: 90.00 90.00 90.00
Closest atoms and distances in Å follow each position.
Space group P4/mmm (No. 123)
Symmetry-distinct sites (fractional):
Th 0.0000 0.0000 0.2272 x2  4 Au 3.21, 4 Pb 3.48, 4 Th 3.50
Pb 0.5000 0.5000 0.5000 x1  8 Th 3.48, 4 Pb 3.50
Au 0.5000 0.5000 0.0000 x1  8 Th 3.21, 4 Au 3.50

***

*ii*
Entry from Alexandria via LeMat-Bulk: an optimized crystal structure of Th2PbAu (GGA-PBE).

Volume   28.3 Å³ per atom
Size of the total moment   0.01 μB/cell

abc: 7.6746 7.6746 7.6746
angles: 90.00 90.00 90.00
Closest atoms and distances in Å follow each position.
Space group Fm-3m (No. 225)
Symmetry-distinct sites (fractional):
Th 0.2500 0.2500 0.2500 x8  4 Pb 3.32, 4 Au 3.32
Pb 0.0000 0.0000 0.0000 x4  8 Th 3.32
Au 0.0000 0.0000 0.5000 x4  8 Th 3.32

***

Name the most stable of them. *i*.

***

*i*
Entry from Alexandria via LeMat-Bulk: an optimized crystal structure of Th2PbAu (GGA-PBE).

Volume   31.3 Å³ per atom
Size of the total moment   0.00 μB/cell

abc: 4.3518 4.3518 22.9092
angles: 90.00 90.00 120.00
Closest atoms and distances in Å follow each position.
Space group R-3m (No. 166, hexagonal axes)
Symmetry-distinct sites (fractional):
Th 0.0000 0.0000 0.2441 x6  3 Au 3.08, 3 Pb 3.24
Pb 0.0000 0.0000 0.0000 x3  6 Th 3.24
Au 0.0000 0.0000 0.5000 x3  6 Th 3.08

***

*ii*
Entry from Alexandria via LeMat-Bulk: an optimized crystal structure of Th2PbAu (GGA-PBE).

Volume   29.2 Å³ per atom
Size of the total moment   0.00 μB/cell

abc: 6.4304 4.3601 8.9127
angles: 90.00 110.96 90.00
Closest atoms and distances in Å follow each position.
Space group P2_1/m (No. 11)
Symmetry-distinct sites (fractional):
Th 0.1859 0.2500 0.4081 x2  2 Au 3.08, 4 Pb 3.26-3.44
Th 0.2574 0.7500 0.0555 x2  3 Au 3.10-3.26, 2 Pb 3.33
Pb 0.3852 0.7500 0.7056 x2  2 Au 2.98, 5 Th 3.26-3.33
Au 0.1325 0.2500 0.7907 x2  2 Pb 2.98, 5 Th 3.08-3.26

***

Name the most stable of them. *ii*.